! PBE with a Hubbard U Fe2Re2O, optimized geometry; values from VASP
&SYSTEM
  ibrav = 0, nat = 5, ntyp = 3
/
ATOMIC_SPECIES
Fe 55.84 Fe.upf
O 16.00 O.upf
Re 186.21 Re.upf
CELL_PARAMETERS angstrom
-1.8892 2.4352 0.9545
-0.9883 -1.7547 2.5208
3.5468 2.7769 5.3884
ATOMIC_POSITIONS crystal
Fe 0.2500 0.7500 0.5000
Fe 0.7500 0.2500 0.5000
O 0.0000 0.0000 0.0000
Re 0.4091 0.4091 0.1819
Re 0.5909 0.5909 0.8181
! Space group: No. 139
! N(E_F): 3.1 states/eV/cell
! Electronic total energy: -0.5041 Ry per atom
! Calculated density: 12.01 Mg/m³
! Energy above the most stable polymorph in this dataset: 0.721 eV/atom